VASP calculation (SCAN) on TaSeNO2 at its PBEsol-relaxed geometry.

a b c (Å): 3.8683 3.8683 4.2962
angles (deg): 90.00 90.00 90.00
Positions (direct):
Ta  0.0000  0.0000  0.0000
Se  0.5000  0.5000  0.5000
N  0.0000  0.0000  0.5000
O  0.0000  0.5000  0.0000
O  0.5000  0.0000  0.0000

Calculated values
Its space-group type is P4/mmm (123). The value obtained for the theoretical density is 7902 kg/m³. The energy relative to the elements, uncorrected is -873 meV per atom.


VASP calculation (SCAN) on GeBiBrF2 at its PBEsol-relaxed geometry.

a b c (Å): 4.4060 4.4060 6.0556
angles (deg): 90.00 90.00 90.00
Positions (direct):
Ge  0.0000  0.0000  0.0000
Bi  0.0000  0.0000  0.5000
Br  0.5000  0.5000  0.0000
F  0.0000  0.5000  0.5000
F  0.5000  0.0000  0.5000

Calculated values
Its space-group type is P4/mmm (123). The value obtained for the theoretical density is 5643 kg/m³. The energy relative to the elements, uncorrected is -1118 meV per atom.


VASP calculation (SCAN) on Cd2NiMo at its PBEsol-relaxed geometry.

a b c (Å): 4.5089 4.5089 4.5089
angles (deg): 60.00 60.00 60.00
Positions (direct):
Cd  0.2500  0.2500  0.2500
Cd  0.7500  0.7500  0.7500
Ni  0.0000  0.0000  0.0000
Mo  0.5000  0.5000  0.5000

Calculated values
As for the relative energy among the computed polymorphs: 173.5 meV per atom. Its space-group type is Fm-3m (225). The value obtained for the theoretical density is 9721 kg/m³. For the formation energy, the calculation gives 574 meV/atom.


VASP calculation (SCAN) on TaZnHg2 at its PBEsol-relaxed geometry.

a b c (Å): 5.2265 5.2265 2.8895
angles (deg): 90.00 90.00 112.07
Positions (direct):
Ta  0.0000  0.0000  0.0000
Zn  0.5000  0.5000  0.0000
Hg  0.0000  0.5000  0.5000
Hg  0.5000  0.0000  0.5000

Calculated values
Its space-group type is Cmmm (65). The value obtained for the theoretical density is 14699 kg/m³. For the formation energy, the calculation gives 289 meV/atom.


VASP calculation (SCAN) on CrCu3C at its PBEsol-relaxed geometry.

a b c (Å): 4.4004 4.4004 4.4004
angles (deg): 90.00 90.00 90.00
Positions (direct):
Cr  0.0000  0.0000  0.0000
Cu  0.0000  0.0000  0.5000
Cu  0.0000  0.5000  0.0000
Cu  0.5000  0.0000  0.0000
C  0.5000  0.5000  0.5000

Calculated values
Its space-group type is Pm-3m (221). The value obtained for the theoretical density is 4963 kg/m³. For the formation energy, the calculation gives 2553 meV/atom.


VASP calculation (SCAN) on BeZn2Ru at its PBEsol-relaxed geometry.

a b c (Å): 4.5948 4.5948 4.5948
angles (deg): 134.45 134.45 66.39
Positions (direct):
Be  0.0000  0.0000  0.0000
Zn  0.2500  0.7500  0.5000
Zn  0.5000  0.5000  0.0000
Ru  0.7500  0.2500  0.5000

Calculated values
Its space-group type is I-4m2 (119). The value obtained for the theoretical density is 8220 kg/m³. For the formation energy, the calculation gives -103 meV/atom.